(1)
# HfZr2V, relaxed, DFT GGA-PBE
# Fermi-level density of states (states/eV per cell): 17.6
# Total magnetic moment (Bohr magnetons per cell): 5.311
# Calculated total energy (eV per atom): -8.7998
# Energy above the most stable polymorph in this dataset (eV per formula unit): 0.43
data_HfZr2V
_cell_length_a 3.1733
_cell_length_b 3.1733
_cell_length_c 28.8257
_cell_angle_alpha 90.00
_cell_angle_beta 90.00
_cell_angle_gamma 120.00
_space_group_name_H-M_alt 'R -3 m'
_space_group_IT_number 166
_space_group_name_Hall '-R 3 2"'
loop_
_atom_site_label
_atom_site_type_symbol
_atom_site_fract_x
_atom_site_fract_y
_atom_site_fract_z
Hf1 Hf 0.0000 0.0000 0.0000
Zr1 Zr 0.0000 0.0000 0.2428
V1 V 0.0000 0.0000 0.5000


(2)
# Eu2AlAg, relaxed, DFT GGA-PBE
# Fermi-level density of states (states/eV per cell): 14.3
# Total magnetic moment (Bohr magnetons per cell): 14.128
# Calculated total energy (eV per atom): -7.0357
data_Eu2AlAg
_cell_length_a 3.826
_cell_length_b 3.826
_cell_length_c 7.474
_cell_angle_alpha 90.00
_cell_angle_beta 90.00
_cell_angle_gamma 90.00
_space_group_name_H-M_alt 'P 4/m m m'
_space_group_IT_number 123
_space_group_name_Hall '-P 4 2'
loop_
_atom_site_label
_atom_site_type_symbol
_atom_site_fract_x
_atom_site_fract_y
_atom_site_fract_z
Eu1 Eu 0.000 0.000 0.246
Al1 Al 0.500 0.500 0.000
Ag1 Ag 0.500 0.500 0.500


(3)
# K2Sc2MnSe6, relaxed, DFT GGA-PBE
# E_form (uncorrected) (eV/atom): -1.27
# Total magnetic moment (Bohr magnetons per cell): 6.017
# Calculated total energy (eV per atom): -5.3570
data_K2Sc2MnSe6
_cell_length_a 6.663
_cell_length_b 11.470
_cell_length_c 8.184
_cell_angle_alpha 90.00
_cell_angle_beta 106.52
_cell_angle_gamma 90.00
_space_group_name_H-M_alt 'C 1 2/m 1'
_space_group_IT_number 12
loop_
_space_group_symop_operation_xyz
'x,y,z'
'-x,-y,-z'
'-x,y,-z'
'x,-y,z'
'x+1/2,y+1/2,z'
'-x+1/2,-y+1/2,-z'
'-x+1/2,y+1/2,-z'
'x+1/2,-y+1/2,z'
loop_
_atom_site_label
_atom_site_type_symbol
_atom_site_fract_x
_atom_site_fract_y
_atom_site_fract_z
K1 K 0.000 0.171 0.000
Sc1 Sc 0.000 0.332 0.500
Mn1 Mn 0.000 0.000 0.500
Se1 Se 0.224 0.156 0.688
Se2 Se 0.248 0.000 0.314


(4)
# KGePt2Pb, relaxed, DFT GGA-PBE
# Fermi-level density of states (states/eV per cell): 4.3
# Total magnetic moment (Bohr magnetons per cell): 0.000
# Calculated total energy (eV per atom): -4.6216
data_KGePt2Pb
_cell_length_a 7.018
_cell_length_b 4.290
_cell_length_c 9.575
_cell_angle_alpha 90.00
_cell_angle_beta 103.97
_cell_angle_gamma 90.00
_space_group_name_H-M_alt 'P 1 21/m 1'
_space_group_IT_number 11
loop_
_space_group_symop_operation_xyz
'x,y,z'
'-x,-y,-z'
'-x,y+1/2,-z'
'x,-y+1/2,z'
loop_
_atom_site_label
_atom_site_type_symbol
_atom_site_fract_x
_atom_site_fract_y
_atom_site_fract_z
K1 K 0.064 0.250 0.267
Ge1 Ge 0.280 0.750 0.542
Pt1 Pt 0.467 0.750 0.795
Pt2 Pt 0.472 0.250 0.603
Pb1 Pb 0.336 0.750 0.057


(5)
# KNbPb2O6, relaxed, DFT GGA-PBE
# Fermi-level density of states (states/eV per cell): 3.3
# E_form (uncorrected) (eV/atom): -1.58
# Total magnetic moment (Bohr magnetons per cell): 0.000
# Calculated total energy (eV per atom): -6.4167
data_KNbPb2O6
_cell_length_a 5.740
_cell_length_b 6.245
_cell_length_c 10.628
_cell_angle_alpha 90.00
_cell_angle_beta 122.67
_cell_angle_gamma 90.00
_space_group_name_H-M_alt 'P 1 21/c 1'
_space_group_IT_number 14
loop_
_space_group_symop_operation_xyz
'x,y,z'
'-x,-y,-z'
'-x,y+1/2,-z+1/2'
'x,-y+1/2,z+1/2'
loop_
_atom_site_label
_atom_site_type_symbol
_atom_site_fract_x
_atom_site_fract_y
_atom_site_fract_z
K1 K 0.000 0.000 0.000
Nb1 Nb 0.500 0.000 0.500
Pb1 Pb 0.213 0.002 0.713
O1 O 0.188 0.188 0.333
O2 O 0.200 0.650 0.002
O3 O 0.485 0.696 0.839


(6)
# TlBiRhPb2, relaxed, DFT GGA-PBE
# Fermi-level density of states (states/eV per cell): 3.2
# Total magnetic moment (Bohr magnetons per cell): 0.000
# Calculated total energy (eV per atom): -4.1346
data_TlBiRhPb2
_cell_length_a 5.342
_cell_length_b 5.342
_cell_length_c 5.276
_cell_angle_alpha 90.00
_cell_angle_beta 90.00
_cell_angle_gamma 90.00
_space_group_name_H-M_alt 'P 4/m m m'
_space_group_IT_number 123
_space_group_name_Hall '-P 4 2'
loop_
_atom_site_label
_atom_site_type_symbol
_atom_site_fract_x
_atom_site_fract_y
_atom_site_fract_z
Tl1 Tl 0.000 0.000 0.000
Bi1 Bi 0.500 0.500 0.000
Rh1 Rh 0.000 0.000 0.500
Pb1 Pb 0.000 0.500 0.500


(7)
# Zr3Zn2Ga4, relaxed, DFT GGA-PBE
# Fermi-level density of states (states/eV per cell): 4.5
# Total magnetic moment (Bohr magnetons per cell): 0.000
# Calculated total energy (eV per atom): -4.9699
data_Zr3Zn2Ga4
_cell_length_a 9.949
_cell_length_b 4.289
_cell_length_c 8.131
_cell_angle_alpha 90.00
_cell_angle_beta 114.45
_cell_angle_gamma 90.00
_space_group_name_H-M_alt 'C 1 2/m 1'
_space_group_IT_number 12
loop_
_space_group_symop_operation_xyz
'x,y,z'
'-x,-y,-z'
'-x,y,-z'
'x,-y,z'
'x+1/2,y+1/2,z'
'-x+1/2,-y+1/2,-z'
'-x+1/2,y+1/2,-z'
'x+1/2,-y+1/2,z'
loop_
_atom_site_label
_atom_site_type_symbol
_atom_site_fract_x
_atom_site_fract_y
_atom_site_fract_z
Zr1 Zr 0.000 0.000 0.000
Zr2 Zr 0.162 0.500 0.670
Zn1 Zn 0.117 0.500 0.284
Ga1 Ga 0.065 0.000 0.395
Ga2 Ga 0.216 0.500 0.053


(8)
# Ac2PbS2O2, relaxed, DFT GGA-PBE
# Fermi-level density of states (states/eV per cell): 2.2
# E_form (uncorrected) (eV/atom): -1.82
# Total magnetic moment (Bohr magnetons per cell): 0.000
# Calculated total energy (eV per atom): -6.1225
data_Ac2PbS2O2
_cell_length_a 4.578
_cell_length_b 4.578
_cell_length_c 15.378
_cell_angle_alpha 90.00
_cell_angle_beta 90.00
_cell_angle_gamma 90.00
_space_group_name_H-M_alt 'I 4/m m m'
_space_group_IT_number 139
_space_group_name_Hall '-I 4 2'
loop_
_atom_site_label
_atom_site_type_symbol
_atom_site_fract_x
_atom_site_fract_y
_atom_site_fract_z
Ac1 Ac 0.000 0.000 0.124
Pb1 Pb 0.000 0.000 0.500
S1 S 0.000 0.000 0.314
O1 O 0.000 0.500 0.000


total magnetic moment of number 7 (Zr3Zn2Ga4)? 0.000 Bohr magnetons per cell


total magnetic moment of number 4 (KGePt2Pb)? 0.000 Bohr magnetons per cell